Entry 1:
Mn3Zn: single point on PBEsol structure, SCAN.

Results
N(E_F) ... 11.488 states/eV/cell
Magnetic moment ... 1.96 μB/f.u.
DFT formation energy ... -0.14 eV/atom
DFT total energy ... -68.9 eV per formula unit

a b c (Å): 3.679 3.679 13.847
angles (deg): 90.00 90.00 90.00
Space group I4/mmm (No. 139)
Inequivalent atoms, fractional coordinates:
Mn 0.000 0.000 0.128 (multiplicity 4)
Mn 0.000 0.500 0.000 (multiplicity 4)
Mn 0.000 0.500 0.250 (multiplicity 4)
Zn 0.000 0.000 0.376 (multiplicity 4)

Entry 2:
MnZn3: single point on PBEsol structure, SCAN.

Results
N(E_F) ... 1.786 states/eV/cell
Magnetic moment ... 3.39 μB/f.u.
DFT formation energy ... -0.07 eV/atom
DFT total energy ... -59.1 eV per formula unit

a b c (Å): 2.634 3.750 5.385
angles (deg): 90.00 90.00 90.00
Space group Pmmm (No. 47)
Inequivalent atoms, fractional coordinates:
Mn 0.000 0.000 0.000 (multiplicity 1)
Zn 0.000 0.000 0.500 (multiplicity 1)
Zn 0.500 0.500 0.240 (multiplicity 2)

Entry 3:
MnZn3: single point on PBEsol structure, SCAN.

Results
N(E_F) ... 3.585 states/eV/cell
Magnetic moment ... 3.52 μB/f.u.
DFT formation energy ... -0.16 eV/atom
DFT total energy ... -59.4 eV per formula unit

a b c (Å): 5.3524 5.3524 4.2589
angles (deg): 90.00 90.00 120.00
Space group P6_3/mmc (No. 194)
Inequivalent atoms, fractional coordinates:
Mn 0.3333 0.6667 0.2500 (multiplicity 2)
Zn 0.1681 0.3362 0.7500 (multiplicity 6)